A plane-wave DFT calculation with PBE was carried out for a geometry-optimized Ta2Bi2O5 structure.

```
Ta2Bi2O5
1.0
9.041 0.000 0.000
0.000 3.718 0.000
0.000 0.000 3.718
Bi O Ta
2 5 2
direct
0.500 0.000 0.000
0.000 0.000 0.000
0.703 0.500 0.000
0.297 0.500 0.000
0.703 0.000 0.500
0.500 0.500 0.500
0.297 0.000 0.500
0.777 0.500 0.500
0.223 0.500 0.500
```

Calculated values
Density (Mg/m³): 11.42
Energy above the most stable polymorph in this dataset (eV per formula unit): 0.00
Spin magnetization (μB per cell): 0.0
Calculated volume (Å³/cell): 125.0